<1>
The following is a DFT calculation (PBE) of crystalline FeOsSeN2 at its relaxed geometry.

extended XYZ file:
```
5
Lattice="3.7618 0.0000 0.0000 0.0000 3.7618 0.0000 0.0000 0.0000 5.5478" Properties=species:S:1:pos:R:3 pbc="T T T"
Fe 0.0000 0.0000 0.0000
Os 1.8809 1.8809 2.7739
Se 1.8809 1.8809 0.0000
N 0.0000 1.8809 2.7739
N 1.8809 0.0000 2.7739
```

Output
Density of states at the Fermi level ... 1.407 states/eV per atom


<2>
The following is a DFT calculation (PBE) of crystalline FeOsSeN2 at its relaxed geometry.

extended XYZ file:
```
5
Lattice="3.5192 0.0000 0.0000 0.0000 3.5192 0.0000 0.0000 0.0000 5.9359" Properties=species:S:1:pos:R:3 pbc="T T T"
Fe 0.0000 0.0000 0.0000
Os 1.7596 1.7596 2.9679
Se 0.0000 0.0000 2.9679
N 0.0000 1.7596 0.0000
N 1.7596 0.0000 0.0000
```

Output
Density of states at the Fermi level ... 0.870 states/eV per atom


Which of them is the most stable, and which is the least stable? <1> and <2>, in that order.